The following is a PBE-GGA calculation of an optimized crystal structure of KCr3, from Alexandria via LeMat-Bulk.

Results
**Energy relative to the elements**: 1064.1 meV/atom
**DOS at the Fermi energy**: 6.51 states/eV per cell
**ΔE to the lowest computed polymorph**: 0.270 eV per atom
**Calculated volume**: 184.7 Å³/cell
**Space-group type**: Cmcm, No. 63
**Energy**: -6.4279 eV per atom

abc: 6.9732 6.9732 3.8832
angles: 90.00 90.00 101.98
Fractional coordinates of all 8 atoms:
Cr (0.2729, 0.0657, 0.2500)
Cr (0.0961, 0.9039, 0.7500)
Cr (0.0657, 0.2729, 0.7500)
Cr (0.7271, 0.9343, 0.7500)
K (0.6306, 0.3694, 0.7500)
Cr (0.9039, 0.0961, 0.2500)
K (0.3694, 0.6306, 0.2500)
Cr (0.9343, 0.7271, 0.2500)

---

The following is a PBE-GGA calculation of an optimized crystal structure of Mg7AlZn4, from Alexandria via LeMat-Bulk.

Results
**Energy relative to the elements**: 81.1 meV/atom
**DOS at the Fermi energy**: 5.17 states/eV per cell
**Calculated volume**: 246.2 Å³/cell
**Space-group type**: C2/m, No. 12
**Energy**: -1.5856 eV per atom

abc: 5.2233 7.9810 7.0501
angles: 67.46 68.26 70.90
Fractional coordinates of all 12 atoms:
Mg (0.1897, 0.1305, 0.4901)
Mg (0.7467, 0.2812, 0.2254)
Mg (0.2533, 0.7188, 0.7746)
Zn (0.4700, 0.6821, 0.3778)
Al (0.0000, 0.0000, 0.0000)
Mg (0.0809, 0.5793, 0.2590)
Mg (0.9191, 0.4207, 0.7410)
Zn (0.6805, 0.6517, 0.9873)
Mg (0.8103, 0.8695, 0.5099)
Mg (0.5000, 0.0000, 0.0000)
Zn (0.5300, 0.3179, 0.6222)
Zn (0.3195, 0.3483, 0.0127)

---

The following is a PBE-GGA calculation of an optimized crystal structure of LiTcBr2, from Alexandria via LeMat-Bulk.

Results
**DOS at the Fermi energy**: 2.45 states/eV per cell
**ΔE to the lowest computed polymorph**: 0.126 eV per atom
**Formation energy from raw total energies**: 0.021 eV/atom
**Calculated volume**: 93.6 Å³/cell
**Space-group type**: R3m, No. 160
**Energy**: -3.8853 eV per atom

abc: 8.1951 8.1951 8.1951
angles: 26.07 26.07 26.07
Fractional coordinates of all 4 atoms:
Br (0.2211, 0.2211, 0.2211)
Br (0.0246, 0.0246, 0.0246)
Li (0.5108, 0.5108, 0.5108)
Tc (0.7435, 0.7435, 0.7435)

---

The following is a PBE-GGA calculation of an optimized crystal structure of Tl2FeMo, from Alexandria via LeMat-Bulk.

Results
**Energy relative to the elements**: 485.7 meV/atom
**DOS at the Fermi energy**: 2.90 states/eV per cell
**ΔE to the lowest computed polymorph**: 0.000 eV per atom
**Calculated volume**: 80.9 Å³/cell
**Space-group type**: P4mm, No. 99
**Energy**: -5.5209 eV per atom

abc: 3.0696 3.0696 8.5864
angles: 90.00 90.00 90.02
Fractional coordinates of all 4 atoms:
Fe (0.0000, 0.0000, 0.5513)
Tl (0.0000, 0.0000, 0.9550)
Mo (0.5000, 0.5000, 0.6920)
Tl (0.5000, 0.5000, 0.3017)

---

The following is a PBE-GGA calculation of an optimized crystal structure of GdEr2Zn, from Alexandria via LeMat-Bulk.

Results
**Energy relative to the elements**: -62.6 meV/atom
**DOS at the Fermi energy**: 4.17 states/eV per cell
**ΔE to the lowest computed polymorph**: 0.097 eV per atom
**Calculated volume**: 111.3 Å³/cell
**Space-group type**: R-3m, No. 166
**Energy**: -6.1828 eV per atom

abc: 3.5375 3.5375 10.4748
angles: 80.28 80.28 60.00
Fractional coordinates of all 4 atoms:
Er (0.7387, 0.7387, 0.7840)
Gd (0.5000, 0.5000, 0.5000)
Zn (0.0000, 0.0000, 0.0000)
Er (0.2613, 0.2613, 0.2160)

---

The following is a PBE-GGA calculation of an optimized crystal structure of Hf2TlH, from Alexandria via LeMat-Bulk.

Results
**DOS at the Fermi energy**: 3.92 states/eV per cell
**ΔE to the lowest computed polymorph**: 0.000 eV per atom
**Calculated volume**: 137.8 Å³/cell
**Space-group type**: P2_1, No. 4
**Energy**: -6.5246 eV per atom

abc: 3.3910 5.2243 7.9660
angles: 90.00 77.62 90.00
Fractional coordinates of all 8 atoms:
Hf (0.2144, 0.3110, 0.0821)
H (0.1430, 0.9674, 0.2224)
Hf (0.0193, 0.8249, 0.4679)
H (0.7589, 0.4674, 0.9935)
Tl (0.3539, 0.8301, 0.8037)
Tl (0.5481, 0.3302, 0.4123)
Hf (0.6876, 0.8110, 0.1339)
Hf (0.8826, 0.3249, 0.7481)

---

The following is a PBE-GGA calculation of an optimized crystal structure of CoCuTe3, from Alexandria via LeMat-Bulk.

Results
**DOS at the Fermi energy**: 5.92 states/eV per cell
**ΔE to the lowest computed polymorph**: 0.000 eV per atom
**Formation energy from raw total energies**: -0.021 eV/atom
**Calculated volume**: 225.0 Å³/cell
**Space-group type**: Pm, No. 6
**Energy**: -4.1462 eV per atom

abc: 3.8254 6.7883 9.0278
angles: 90.00 90.00 106.33
Fractional coordinates of all 10 atoms:
Te (0.4073, 0.8135, 0.2500)
Te (0.8976, 0.7937, 0.5853)
Cu (0.6034, 0.2075, 0.2500)
Te (0.1498, 0.2997, 0.0578)
Te (0.1498, 0.2997, 0.4422)
Cu (0.2460, 0.4953, 0.7500)
Co (0.5185, 0.0361, 0.9964)
Co (0.5185, 0.0361, 0.5036)
Te (0.8976, 0.7937, 0.9147)
Te (0.6116, 0.2246, 0.7500)

---

The following is a PBE-GGA calculation of an optimized crystal structure of LiMo2Se, from Alexandria via LeMat-Bulk.

Results
**DOS at the Fermi energy**: 2.50 states/eV per cell
**Formation energy from raw total energies**: 0.217 eV/atom
**Calculated volume**: 59.9 Å³/cell
**Space-group type**: Imm2, No. 44
**Energy**: -6.5486 eV per atom

abc: 4.9055 4.9055 4.9055
angles: 139.74 126.94 68.64
Fractional coordinates of all 4 atoms:
Se (0.4945, 0.4945, 0.0000)
Mo (0.7500, 0.2500, 0.5000)
Mo (0.9947, 0.9947, 0.0000)
Li (0.2608, 0.7608, 0.5000)

---

> Number 5 is which compound?

GdEr2Zn

---

> DOS at the Fermi energy of number 5 (GdEr2Zn)?

4.17 states/eV per cell

---

> Which value of DOS at the Fermi energy does entry 5 give?

4.17 states/eV per cell

---

> The highest DOS at the Fermi energy belongs to which entry?

KCr3